(1)
Compound: KOsRh2
Source: Alexandria
Functional: PBE
Structure: optimized geometry

a = 2.8173 Å, b = 2.8173 Å, c = 29.7443 Å
α = 90.00°, β = 90.00°, γ = 120.00°
Space group R-3m (No. 166, hexagonal axes)
One atom of each set of equivalent atoms:
K 0.0000 0.0000 0.0000 [3 per cell]
Os 0.0000 0.0000 0.5000 [3 per cell]
Rh 0.0000 0.0000 0.2374 [6 per cell]

## Properties
ΔE_f   578 meV/atom
Excess energy over the best structure of this formula in the dataset   0.139 eV per atom

***

(2)
Compound: KZn2GaS4
Source: Alexandria
Functional: PBE
Structure: optimized geometry

a = 8.668 Å, b = 8.685 Å, c = 9.869 Å
α = 90.00°, β = 90.00°, γ = 90.00°
Space group Fmm2 (No. 42)
One atom of each set of equivalent atoms:
K 0.000 0.000 0.000 [4 per cell]
Zn 0.250 0.250 0.249 [8 per cell]
Ga 0.000 0.000 0.498 [4 per cell]
S 0.000 0.206 0.644 [8 per cell]
S 0.207 0.000 0.353 [8 per cell]

## Properties
Raw formation energy   -0.78 eV per atom

***

(3)
Compound: MgCd2Co2
Source: Alexandria
Functional: PBE
Structure: optimized geometry

a = 6.587 Å, b = 6.587 Å, c = 3.904 Å
α = 90.00°, β = 90.00°, γ = 90.00°
Space group P4/mbm (No. 127)
One atom of each set of equivalent atoms:
Mg 0.000 0.000 0.000 [2 per cell]
Cd 0.173 0.327 0.500 [4 per cell]
Co 0.120 0.620 0.000 [4 per cell]

## Properties
ΔE_f   231 meV/atom
Excess energy over the best structure of this formula in the dataset   0.000 eV per atom

***

(4)
Compound: LiPmGdIr
Source: Alexandria
Functional: PBE
Structure: optimized geometry

a = 7.083 Å, b = 7.083 Å, c = 7.083 Å
α = 90.00°, β = 90.00°, γ = 90.00°
Space group F-43m (No. 216)
One atom of each set of equivalent atoms:
Li 0.000 0.000 0.000 [4 per cell]
Pm 0.250 0.250 0.750 [4 per cell]
Gd 0.250 0.250 0.250 [4 per cell]
Ir 0.000 0.000 0.500 [4 per cell]

## Properties
ΔE_f   -472 meV/atom

***

(5)
Compound: BeSn3I
Source: Alexandria
Functional: PBE
Structure: optimized geometry

a = 5.140 Å, b = 5.140 Å, c = 5.140 Å
α = 90.00°, β = 90.00°, γ = 90.00°
Space group Pm-3m (No. 221)
One atom of each set of equivalent atoms:
Be 0.000 0.000 0.000 [1 per cell]
Sn 0.000 0.000 0.500 [3 per cell]
I 0.500 0.500 0.500 [1 per cell]

## Properties
Raw formation energy   0.34 eV per atom
Excess energy over the best structure of this formula in the dataset   0.000 eV per atom

***

(6)
Compound: LiScGa2Ni
Source: Alexandria
Functional: PBE
Structure: optimized geometry

a = 5.068 Å, b = 5.068 Å, c = 4.870 Å
α = 90.00°, β = 90.00°, γ = 90.00°
Space group P4/mmm (No. 123)
One atom of each set of equivalent atoms:
Li 0.000 0.000 0.000 [1 per cell]
Sc 0.000 0.000 0.500 [1 per cell]
Ga 0.000 0.500 0.500 [2 per cell]
Ni 0.500 0.500 0.000 [1 per cell]

## Properties
ΔE_f   1126 meV/atom

***

(7)
Compound: Pu2TlRu
Source: Alexandria
Functional: PBE
Structure: optimized geometry

a = 3.8470 Å, b = 3.8470 Å, c = 24.6429 Å
α = 90.00°, β = 90.00°, γ = 120.00°
Space group R-3m (No. 166, hexagonal axes)
One atom of each set of equivalent atoms:
Pu 0.0000 0.0000 0.2304 [6 per cell]
Tl 0.0000 0.0000 0.0000 [3 per cell]
Ru 0.0000 0.0000 0.5000 [3 per cell]

## Properties
ΔE_f   14 meV/atom
Excess energy over the best structure of this formula in the dataset   0.148 eV per atom

***

(8)
Compound: Ge2WCS
Source: Alexandria
Functional: PBE
Structure: optimized geometry

a = 4.889 Å, b = 4.889 Å, c = 3.308 Å
α = 90.00°, β = 90.00°, γ = 90.00°
Space group P4/mmm (No. 123)
One atom of each set of equivalent atoms:
Ge 0.000 0.500 0.000 [2 per cell]
W 0.000 0.000 0.500 [1 per cell]
C 0.500 0.500 0.500 [1 per cell]
S 0.500 0.500 0.000 [1 per cell]

## Properties
Raw formation energy   1.64 eV per atom

***

| no. | total moment (μB/f.u.) |
| --- | --- |
| 1 | 0.00 |
| 2 | 0.00 |
| 3 | 2.05 |
| 4 | 7.13 |
| 5 | 0.00 |
| 6 | 0.47 |
| 7 | 10.22 |
| 8 | 0.11 |